VASP calculation (PBEsol) on Co4Rh5 after structural relaxation.

Crystal system = tetragonal
Formation energy from the elements = 0.09 eV per atom
Space-group type = I4/mmm, No. 139

Lattice parameters (Å, degrees): 3.695 5.763 5.763 84.10 71.30 71.30
Last column: magnetic moment on the atom in μB.
Element x y z (fractional)
1 Co 0.344 0.656 0.656  1.63
2 Co 0.000 0.344 0.656  1.63
3 Co 0.000 0.656 0.344  1.63
4 Co 0.656 0.344 0.344  1.63
5 Rh 0.331 0.000 0.338  0.25
6 Rh 0.000 0.000 0.000  0.28
7 Rh 0.669 0.662 0.000  0.25
8 Rh 0.331 0.338 0.000  0.25
9 Rh 0.669 0.000 0.662  0.25